The following is a PBE calculation of crystalline CsLuZnTe3 at its relaxed geometry, from the Open Quantum Materials Database.

Structure (POSCAR):
```
CsLuZnTe3
1.0
2.185 -8.649 0.000
2.185 8.649 0.000
0.000 0.000 11.555
Cs Lu Zn Te
2 2 2 6
Cartesian
2.185 4.372 8.666 Cs
2.185 -4.372 2.889 Cs
2.185 0.000 0.000 Lu
2.185 0.000 5.777 Lu
2.185 8.024 2.889 Zn
2.185 -8.024 8.666 Zn
2.185 6.614 0.634 Te
2.185 6.614 5.144 Te
2.185 1.043 2.889 Te
2.185 -1.043 8.666 Te
2.185 -6.614 6.411 Te
2.185 -6.614 10.921 Te
```

Calculated values
* SG: Cmcm, No. 63
* energy above the lowest structure with this stoichiometry: 0.0000 eV per atom
* magnetization: 0.001 μB/atom